# Zn2OsCl | the Alexandria database | GGA-PBE | relaxed
# Energy relative to the elements, uncorrected (meV/atom): 906
# Density (Mg/m³): 8.79
# Volume (Å³/cell): 269.5
# DFT total energy (eV per formula unit): -12.000
data_Zn2OsCl
_chemical_formula_sum 'Zn8 Os4 Cl4'
_cell_length_a 6.460
_cell_length_b 6.460
_cell_length_c 6.460
_cell_angle_alpha 90.00
_cell_angle_beta 90.00
_cell_angle_gamma 90.00
_space_group_name_H-M_alt 'F m -3 m'
_space_group_IT_number 225
_space_group_name_Hall '-F 4 2 3'
loop_
_atom_site_label
_atom_site_fract_x
_atom_site_fract_y
_atom_site_fract_z
Zn1 0.250 0.250 0.250
Os1 0.000 0.000 0.000
Cl1 0.000 0.000 0.500


# ZnOsCl | the Alexandria database | GGA-PBE | relaxed
# Energy relative to the elements, uncorrected (meV/atom): 1533
# Density (Mg/m³): 8.07
# Volume (Å³/cell): 239.6
# DFT total energy (eV per formula unit): -9.750
data_ZnOsCl
_chemical_formula_sum 'Zn4 Os4 Cl4'
_cell_length_a 6.211
_cell_length_b 6.211
_cell_length_c 6.211
_cell_angle_alpha 90.00
_cell_angle_beta 90.00
_cell_angle_gamma 90.00
_space_group_name_H-M_alt 'F -4 3 m'
_space_group_IT_number 216
_space_group_name_Hall 'F -4 2 3'
loop_
_atom_site_label
_atom_site_fract_x
_atom_site_fract_y
_atom_site_fract_z
Zn1 0.000 0.000 0.000
Os1 0.250 0.250 0.750
Cl1 0.250 0.250 0.250


# ZnOs2Cl | the Alexandria database | GGA-PBE | relaxed
# Energy relative to the elements, uncorrected (meV/atom): 1253
# Density (Mg/m³): 13.50
# Volume (Å³/cell): 118.4
# DFT total energy (eV per formula unit): -20.570
data_ZnOs2Cl
_chemical_formula_sum 'Zn2 Os4 Cl2'
_cell_length_a 5.648
_cell_length_b 7.578
_cell_length_c 2.766
_cell_angle_alpha 90.00
_cell_angle_beta 90.00
_cell_angle_gamma 90.00
_space_group_name_H-M_alt 'C m m m'
_space_group_IT_number 65
_space_group_name_Hall '-C 2 2'
loop_
_atom_site_label
_atom_site_fract_x
_atom_site_fract_y
_atom_site_fract_z
Zn1 0.000 0.000 0.000
Os1 0.250 0.250 0.500
Cl1 0.000 0.500 0.000


# Zn2OsCl | the Alexandria database | GGA-PBE | relaxed
# Energy relative to the elements, uncorrected (meV/atom): 402
# Density (Mg/m³): 8.42
# Volume (Å³/cell): 211.0
# DFT total energy (eV per formula unit): -14.014
data_Zn2OsCl
_chemical_formula_sum 'Zn6 Os3 Cl3'
_cell_length_a 2.8728
_cell_length_b 2.8728
_cell_length_c 29.5200
_cell_angle_alpha 90.00
_cell_angle_beta 90.00
_cell_angle_gamma 120.00
_space_group_name_H-M_alt 'R 3 m'
_space_group_IT_number 160
_space_group_name_Hall 'R 3 -2"'
loop_
_atom_site_label
_atom_site_fract_x
_atom_site_fract_y
_atom_site_fract_z
Zn1 0.0000 0.0000 0.0000
Zn2 0.0000 0.0000 0.2612
Os1 0.0000 0.0000 0.7369
Cl1 0.0000 0.0000 0.5341


# ZnOs2Cl | the Alexandria database | GGA-PBE | relaxed
# Energy relative to the elements, uncorrected (meV/atom): 1123
# Density (Mg/m³): 10.16
# Volume (Å³/cell): 157.4
# DFT total energy (eV per formula unit): -21.088
data_ZnOs2Cl
_chemical_formula_sum 'Zn2 Os4 Cl2'
_cell_length_a 3.490
_cell_length_b 3.490
_cell_length_c 12.921
_cell_angle_alpha 90.00
_cell_angle_beta 90.00
_cell_angle_gamma 90.00
_space_group_name_H-M_alt 'I 4/m m m'
_space_group_IT_number 139
_space_group_name_Hall '-I 4 2'
loop_
_atom_site_label
_atom_site_fract_x
_atom_site_fract_y
_atom_site_fract_z
Zn1 0.000 0.000 0.000
Os1 0.000 0.500 0.250
Cl1 0.000 0.000 0.500


# ZnOs2Cl | the Alexandria database | GGA-PBE | relaxed
# Energy relative to the elements, uncorrected (meV/atom): 874
# Density (Mg/m³): 12.84
# Volume (Å³/cell): 62.3
# DFT total energy (eV per formula unit): -22.082
data_ZnOs2Cl
_chemical_formula_sum 'Zn1 Os2 Cl1'
_cell_length_a 2.863
_cell_length_b 4.561
_cell_length_c 4.780
_cell_angle_alpha 90.00
_cell_angle_beta 94.17
_cell_angle_gamma 90.00
_space_group_name_H-M_alt 'P 1 2/m 1'
_space_group_IT_number 10
loop_
_space_group_symop_operation_xyz
'x,y,z'
'-x,-y,-z'
'-x,y,-z'
'x,-y,z'
loop_
_atom_site_label
_atom_site_fract_x
_atom_site_fract_y
_atom_site_fract_z
Zn1 0.000 0.000 0.000
Os1 0.298 0.500 0.228
Cl1 0.500 0.000 0.500


# Zn2OsCl | the Alexandria database | GGA-PBE | relaxed
# Energy relative to the elements, uncorrected (meV/atom): 713
# Density (Mg/m³): 8.80
# Volume (Å³/cell): 269.1
# DFT total energy (eV per formula unit): -12.773
data_Zn2OsCl
_chemical_formula_sum 'Zn8 Os4 Cl4'
_cell_length_a 7.116
_cell_length_b 7.116
_cell_length_c 5.314
_cell_angle_alpha 90.00
_cell_angle_beta 90.00
_cell_angle_gamma 90.00
_space_group_name_H-M_alt 'I -4 2 d'
_space_group_IT_number 122
_space_group_name_Hall 'I -4 2bw'
loop_
_atom_site_label
_atom_site_fract_x
_atom_site_fract_y
_atom_site_fract_z
Zn1 0.244 0.250 0.125
Os1 0.000 0.000 0.000
Cl1 0.000 0.000 0.500


# ZnOs2Cl | the Alexandria database | GGA-PBE | relaxed
# Energy relative to the elements, uncorrected (meV/atom): 176
# Density (Mg/m³): 12.28
# Volume (Å³/cell): 65.1
# DFT total energy (eV per formula unit): -24.875
data_ZnOs2Cl
_chemical_formula_sum 'Zn1 Os2 Cl1'
_cell_length_a 2.878
_cell_length_b 2.891
_cell_length_c 7.824
_cell_angle_alpha 90.00
_cell_angle_beta 90.00
_cell_angle_gamma 90.00
_space_group_name_H-M_alt 'P m m 2'
_space_group_IT_number 25
loop_
_space_group_symop_operation_xyz
'x,y,z'
'-x,-y,z'
'-x,y,z'
'x,-y,z'
loop_
_atom_site_label
_atom_site_fract_x
_atom_site_fract_y
_atom_site_fract_z
Zn1 0.000 0.000 0.000
Os1 0.000 0.000 0.433
Os2 0.500 0.500 0.228
Cl1 0.500 0.000 0.694


# ZnOs2Cl | the Alexandria database | GGA-PBE | relaxed
# Energy relative to the elements, uncorrected (meV/atom): 615
# Density (Mg/m³): 12.58
# Volume (Å³/cell): 127.1
# DFT total energy (eV per formula unit): -23.121
data_ZnOs2Cl
_chemical_formula_sum 'Zn2 Os4 Cl2'
_cell_length_a 10.971
_cell_length_b 2.786
_cell_length_c 4.194
_cell_angle_alpha 90.00
_cell_angle_beta 97.53
_cell_angle_gamma 90.00
_space_group_name_H-M_alt 'C 1 2/m 1'
_space_group_IT_number 12
loop_
_space_group_symop_operation_xyz
'x,y,z'
'-x,-y,-z'
'-x,y,-z'
'x,-y,z'
'x+1/2,y+1/2,z'
'-x+1/2,-y+1/2,-z'
'-x+1/2,y+1/2,-z'
'x+1/2,-y+1/2,z'
loop_
_atom_site_label
_atom_site_fract_x
_atom_site_fract_y
_atom_site_fract_z
Zn1 0.000 0.000 0.000
Os1 0.207 0.500 0.221
Cl1 0.000 0.500 0.500


# Zn2OsCl | the Alexandria database | GGA-PBE | relaxed
# Energy relative to the elements, uncorrected (meV/atom): 853
# Density (Mg/m³): 9.54
# Volume (Å³/cell): 248.2
# DFT total energy (eV per formula unit): -12.211
data_Zn2OsCl
_chemical_formula_sum 'Zn8 Os4 Cl4'
_cell_length_a 6.284
_cell_length_b 6.284
_cell_length_c 6.284
_cell_angle_alpha 90.00
_cell_angle_beta 90.00
_cell_angle_gamma 90.00
_space_group_name_H-M_alt 'F -4 3 m'
_space_group_IT_number 216
_space_group_name_Hall 'F -4 2 3'
loop_
_atom_site_label
_atom_site_fract_x
_atom_site_fract_y
_atom_site_fract_z
Zn1 0.000 0.000 0.000
Zn2 0.250 0.250 0.250
Os1 0.250 0.250 0.750
Cl1 0.000 0.000 0.500


# ZnOs2Cl | the Alexandria database | GGA-PBE | relaxed
# Energy relative to the elements, uncorrected (meV/atom): 821
# Density (Mg/m³): 13.29
# Volume (Å³/cell): 120.3
# DFT total energy (eV per formula unit): -22.296
data_ZnOs2Cl
_chemical_formula_sum 'Zn2 Os4 Cl2'
_cell_length_a 2.732
_cell_length_b 4.973
_cell_length_c 8.852
_cell_angle_alpha 90.00
_cell_angle_beta 90.00
_cell_angle_gamma 90.00
_space_group_name_H-M_alt 'C m m m'
_space_group_IT_number 65
_space_group_name_Hall '-C 2 2'
loop_
_atom_site_label
_atom_site_fract_x
_atom_site_fract_y
_atom_site_fract_z
Zn1 0.000 0.000 0.000
Os1 0.000 0.500 0.251
Cl1 0.000 0.000 0.500


# ZnOs2Cl | the Alexandria database | GGA-PBE | relaxed
# Energy relative to the elements, uncorrected (meV/atom): 1105
# Density (Mg/m³): 13.42
# Volume (Å³/cell): 59.5
# DFT total energy (eV per formula unit): -21.161
data_ZnOs2Cl
_chemical_formula_sum 'Zn1 Os2 Cl1'
_cell_length_a 2.749
_cell_length_b 2.749
_cell_length_c 7.877
_cell_angle_alpha 90.00
_cell_angle_beta 90.00
_cell_angle_gamma 90.00
_space_group_name_H-M_alt 'P 4/m m m'
_space_group_IT_number 123
_space_group_name_Hall '-P 4 2'
loop_
_atom_site_label
_atom_site_fract_x
_atom_site_fract_y
_atom_site_fract_z
Zn1 0.000 0.000 0.000
Os1 0.500 0.500 0.244
Cl1 0.000 0.000 0.500